#a
The following is a DFT calculation (PBE) of a relaxed TbErTm3 crystal.

space-group type: P-1

CIF file:
```
data_TbErTm3
_symmetry_space_group_name_H-M 'P 1'
_symmetry_Int_Tables_number 1
_cell_length_a 9.460
_cell_length_b 6.604
_cell_length_c 6.187
_cell_angle_alpha 62.10
_cell_angle_beta 109.12
_cell_angle_gamma 84.13
loop_
_symmetry_equiv_pos_as_xyz
'x,y,z'
loop_
_atom_site_label
_atom_site_fract_x
_atom_site_fract_y
_atom_site_fract_z
_atom_site_occupancy
Tm1 0.051 0.949 0.485 1
Tm2 0.549 0.451 0.315 1
Tb1 0.849 0.951 0.882 1
Tm3 0.750 0.449 0.917 1
Er1 0.649 0.950 0.283 1
Tm4 0.250 0.951 0.083 1
Tb2 0.151 0.449 0.118 1
Tm5 0.949 0.451 0.515 1
Er2 0.351 0.450 0.717 1
Tm6 0.451 0.949 0.685 1
```

***

#b
The following is a DFT calculation (PBE) of a relaxed TbErTm3 crystal.

space-group type: P2_1/m

CIF file:
```
data_TbErTm3
_symmetry_space_group_name_H-M 'P 1'
_symmetry_Int_Tables_number 1
_cell_length_a 3.580
_cell_length_b 8.365
_cell_length_c 11.374
_cell_angle_alpha 90.00
_cell_angle_beta 90.00
_cell_angle_gamma 102.37
loop_
_symmetry_equiv_pos_as_xyz
'x,y,z'
loop_
_atom_site_label
_atom_site_fract_x
_atom_site_fract_y
_atom_site_fract_z
_atom_site_occupancy
Tm1 0.847 0.193 0.999 1
Er1 0.983 0.468 0.250 1
Tm2 0.153 0.807 0.001 1
Tm3 0.648 0.798 0.250 1
Tb1 0.690 0.879 0.750 1
Tb2 0.310 0.121 0.250 1
Tm4 0.352 0.202 0.750 1
Er2 0.017 0.532 0.750 1
Tm5 0.847 0.193 0.501 1
Tm6 0.153 0.807 0.499 1
```

***

It is #b that is the least stable of them.

***

#a
The following is a DFT calculation (PBE) of a relaxed TbEr12Tm6 crystal.

space-group type: R-3

CIF file:
```
data_TbEr12Tm6
_symmetry_space_group_name_H-M 'P 1'
_symmetry_Int_Tables_number 1
_cell_length_a 8.402
_cell_length_b 8.402
_cell_length_c 8.402
_cell_angle_alpha 88.07
_cell_angle_beta 88.07
_cell_angle_gamma 88.07
loop_
_symmetry_equiv_pos_as_xyz
'x,y,z'
loop_
_atom_site_label
_atom_site_fract_x
_atom_site_fract_y
_atom_site_fract_z
_atom_site_occupancy
Er1 0.435 0.774 0.544 1
Tm1 0.311 0.744 0.908 1
Er2 0.774 0.544 0.435 1
Er3 0.009 0.209 0.357 1
Er4 0.209 0.357 0.009 1
Tm2 0.908 0.311 0.744 1
Er5 0.565 0.226 0.456 1
Er6 0.456 0.565 0.226 1
Tm3 0.092 0.689 0.256 1
Er7 0.791 0.643 0.991 1
Tm4 0.256 0.092 0.689 1
Er8 0.544 0.435 0.774 1
Tb1 0.000 0.000 0.000 1
Er9 0.643 0.991 0.791 1
Er10 0.991 0.791 0.643 1
Er11 0.357 0.009 0.209 1
Tm5 0.744 0.908 0.311 1
Er12 0.226 0.456 0.565 1
Tm6 0.689 0.256 0.092 1
```

***

#b
The following is a DFT calculation (PBE) of a relaxed TbEr12Tm6 crystal.

space-group type: R-3m

CIF file:
```
data_TbEr12Tm6
_symmetry_space_group_name_H-M 'P 1'
_symmetry_Int_Tables_number 1
_cell_length_a 9.177
_cell_length_b 9.177
_cell_length_c 9.177
_cell_angle_alpha 107.65
_cell_angle_beta 107.65
_cell_angle_gamma 107.65
loop_
_symmetry_equiv_pos_as_xyz
'x,y,z'
loop_
_atom_site_label
_atom_site_fract_x
_atom_site_fract_y
_atom_site_fract_z
_atom_site_occupancy
Er1 0.500 0.111 0.889 1
Tm1 0.686 0.686 0.272 1
Tm2 0.728 0.314 0.314 1
Er2 0.643 0.865 0.643 1
Er3 0.865 0.643 0.643 1
Tm3 0.686 0.272 0.686 1
Er4 0.111 0.500 0.889 1
Tm4 0.314 0.728 0.314 1
Er5 0.111 0.889 0.500 1
Er6 0.643 0.643 0.865 1
Er7 0.889 0.500 0.111 1
Er8 0.135 0.357 0.357 1
Tm5 0.272 0.686 0.686 1
Er9 0.500 0.889 0.111 1
Er10 0.357 0.357 0.135 1
Tm6 0.314 0.314 0.728 1
Er11 0.357 0.135 0.357 1
Er12 0.889 0.111 0.500 1
Tb1 0.000 0.000 0.000 1
```

***

It is #b that is the least stable of them.

***

#a
The following is a DFT calculation (PBE) of a relaxed Tb8Er6Tm crystal.

space-group type: R-3

CIF file:
```
data_Tb8Er6Tm
_symmetry_space_group_name_H-M 'P 1'
_symmetry_Int_Tables_number 1
_cell_length_a 8.961
_cell_length_b 8.961
_cell_length_c 8.559
_cell_angle_alpha 58.43
_cell_angle_beta 58.43
_cell_angle_gamma 60.00
loop_
_symmetry_equiv_pos_as_xyz
'x,y,z'
loop_
_atom_site_label
_atom_site_fract_x
_atom_site_fract_y
_atom_site_fract_z
_atom_site_occupancy
Tb1 0.577 0.577 0.269 1
Tm1 0.000 0.000 0.000 1
Er1 0.234 0.541 0.120 1
Er2 0.766 0.459 0.880 1
Tb2 0.746 0.720 0.424 1
Tb3 0.423 0.423 0.731 1
Tb4 0.890 0.254 0.576 1
Tb5 0.254 0.280 0.576 1
Er3 0.459 0.895 0.880 1
Tb6 0.110 0.746 0.424 1
Er4 0.895 0.766 0.880 1
Er5 0.541 0.105 0.120 1
Tb7 0.280 0.890 0.576 1
Er6 0.105 0.234 0.120 1
Tb8 0.720 0.110 0.424 1
```

***

#b
The following is a DFT calculation (PBE) of a relaxed Tb8Er6Tm crystal.

space-group type: P-1

CIF file:
```
data_Tb8Er6Tm
_symmetry_space_group_name_H-M 'P 1'
_symmetry_Int_Tables_number 1
_cell_length_a 5.775
_cell_length_b 9.756
_cell_length_c 9.757
_cell_angle_alpha 119.97
_cell_angle_beta 90.00
_cell_angle_gamma 90.04
loop_
_symmetry_equiv_pos_as_xyz
'x,y,z'
loop_
_atom_site_label
_atom_site_fract_x
_atom_site_fract_y
_atom_site_fract_z
_atom_site_occupancy
Er1 0.220 0.223 0.950 1
Er2 0.779 0.274 0.224 1
Tb1 0.732 0.375 0.909 1
Tb2 0.732 0.091 0.466 1
Tb3 0.268 0.466 0.375 1
Er3 0.781 0.776 0.050 1
Tb4 0.777 0.667 0.333 1
Er4 0.780 0.950 0.727 1
Tb5 0.223 0.333 0.667 1
Er5 0.220 0.726 0.776 1
Tb6 0.732 0.534 0.625 1
Tm1 0.500 0.000 0.000 1
Tb7 0.268 0.625 0.091 1
Tb8 0.268 0.909 0.534 1
Er6 0.220 0.050 0.274 1
```

***

It is #b that is the least stable of them.

***

#a
The following is a DFT calculation (PBE) of a relaxed Tb4Er3Tm8 crystal.

space-group type: R-3m

CIF file:
```
data_Tb4Er3Tm8
_symmetry_space_group_name_H-M 'P 1'
_symmetry_Int_Tables_number 1
_cell_length_a 6.833
_cell_length_b 6.833
_cell_length_c 12.247
_cell_angle_alpha 73.80
_cell_angle_beta 73.80
_cell_angle_gamma 60.00
loop_
_symmetry_equiv_pos_as_xyz
'x,y,z'
loop_
_atom_site_label
_atom_site_fract_x
_atom_site_fract_y
_atom_site_fract_z
_atom_site_occupancy
Tb1 0.663 0.663 0.010 1
Tm1 0.245 0.245 0.265 1
Er1 0.000 0.000 0.500 1
Tb2 0.000 0.000 0.000 1
Tm2 0.755 0.755 0.735 1
Tb3 0.500 0.500 0.500 1
Er2 0.000 0.500 0.500 1
Tm3 0.250 0.753 0.748 1
Tm4 0.250 0.250 0.748 1
Tm5 0.247 0.750 0.252 1
Tm6 0.750 0.750 0.252 1
Tb4 0.337 0.337 0.990 1
Tm7 0.750 0.247 0.252 1
Er3 0.500 0.000 0.500 1
Tm8 0.753 0.250 0.748 1
```

***

#b
The following is a DFT calculation (PBE) of a relaxed Tb4Er3Tm8 crystal.

space-group type: C2/m

CIF file:
```
data_Tb4Er3Tm8
_symmetry_space_group_name_H-M 'P 1'
_symmetry_Int_Tables_number 1
_cell_length_a 6.624
_cell_length_b 9.174
_cell_length_c 9.174
_cell_angle_alpha 88.09
_cell_angle_beta 111.23
_cell_angle_gamma 111.23
loop_
_symmetry_equiv_pos_as_xyz
'x,y,z'
loop_
_atom_site_label
_atom_site_fract_x
_atom_site_fract_y
_atom_site_fract_z
_atom_site_occupancy
Tb1 0.000 0.000 0.000 1
Tm1 0.000 0.362 0.638 1
Tm2 0.523 0.266 0.266 1
Tm3 0.477 0.734 0.734 1
Er1 0.500 0.000 0.500 1
Tm4 0.500 0.253 0.747 1
Tb2 0.000 0.000 0.500 1
Tm5 0.500 0.747 0.253 1
Tm6 0.004 0.268 0.268 1
Er2 0.500 0.500 0.500 1
Tb3 0.500 0.000 0.000 1
Tm7 0.000 0.638 0.362 1
Tb4 0.000 0.500 0.000 1
Tm8 0.996 0.732 0.732 1
Er3 0.500 0.500 0.000 1
```

***

It is #b that is the least stable of them.

***

#a
The following is a DFT calculation (PBE) of a relaxed Tb2ErTm6 crystal.

space-group type: P4_2/mnm

CIF file:
```
data_Tb2ErTm6
_symmetry_space_group_name_H-M 'P 1'
_symmetry_Int_Tables_number 1
_cell_length_a 4.960
_cell_length_b 10.488
_cell_length_c 10.488
_cell_angle_alpha 90.00
_cell_angle_beta 90.00
_cell_angle_gamma 90.00
loop_
_symmetry_equiv_pos_as_xyz
'x,y,z'
loop_
_atom_site_label
_atom_site_fract_x
_atom_site_fract_y
_atom_site_fract_z
_atom_site_occupancy
Tm1 0.000 0.333 0.167 1
Tm2 0.000 0.001 0.166 1
Tm3 0.000 0.666 0.501 1
Tb1 0.500 0.833 0.667 1
Er1 0.500 0.500 0.000 1
Tm4 0.500 0.167 0.667 1
Tm5 0.500 0.166 0.999 1
Tm6 0.500 0.499 0.666 1
Er2 0.000 0.000 0.500 1
Tm7 0.500 0.834 0.001 1
Tm8 0.500 0.833 0.333 1
Tm9 0.000 0.667 0.833 1
Tm10 0.500 0.501 0.334 1
Tb2 0.000 0.667 0.167 1
Tb3 0.500 0.167 0.333 1
Tm11 0.000 0.334 0.499 1
Tb4 0.000 0.333 0.833 1
Tm12 0.000 0.999 0.834 1
```

***

#b
The following is a DFT calculation (PBE) of a relaxed Tb2ErTm6 crystal.

space-group type: C2/c

CIF file:
```
data_Tb2ErTm6
_symmetry_space_group_name_H-M 'P 1'
_symmetry_Int_Tables_number 1
_cell_length_a 6.447
_cell_length_b 9.422
_cell_length_c 9.422
_cell_angle_alpha 96.00
_cell_angle_beta 80.80
_cell_angle_gamma 80.80
loop_
_symmetry_equiv_pos_as_xyz
'x,y,z'
loop_
_atom_site_label
_atom_site_fract_x
_atom_site_fract_y
_atom_site_fract_z
_atom_site_occupancy
Tm1 0.229 0.461 0.060 1
Tm2 0.314 0.778 0.955 1
Tb1 0.871 0.383 0.334 1
Tm3 0.729 0.060 0.461 1
Tb2 0.629 0.666 0.617 1
Tm4 0.686 0.222 0.045 1
Tm5 0.003 0.277 0.650 1
Tm6 0.771 0.539 0.940 1
Tb3 0.129 0.617 0.666 1
Tm7 0.997 0.723 0.350 1
Tm8 0.271 0.940 0.539 1
Tm9 0.814 0.955 0.778 1
Tm10 0.497 0.350 0.723 1
Tm11 0.503 0.650 0.277 1
Er1 0.250 0.119 0.881 1
Tb4 0.371 0.334 0.383 1
Tm12 0.186 0.045 0.222 1
Er2 0.750 0.881 0.119 1
```

***

It is #b that is the least stable of them.

***

#a
The following is a DFT calculation (PBE) of a relaxed TbEr12Tm7 crystal.

space-group type: R-3

CIF file:
```
data_TbEr12Tm7
_symmetry_space_group_name_H-M 'P 1'
_symmetry_Int_Tables_number 1
_cell_length_a 6.589
_cell_length_b 10.798
_cell_length_c 10.798
_cell_angle_alpha 64.03
_cell_angle_beta 78.26
_cell_angle_gamma 101.74
loop_
_symmetry_equiv_pos_as_xyz
'x,y,z'
loop_
_atom_site_label
_atom_site_fract_x
_atom_site_fract_y
_atom_site_fract_z
_atom_site_occupancy
Er1 0.718 0.787 0.790 1
Tm1 0.074 0.861 0.304 1
Er2 0.068 0.576 0.213 1
Er3 0.746 0.540 0.521 1
Tb1 0.000 0.000 0.000 1
Tm2 0.926 0.139 0.696 1
Tm3 0.500 0.000 0.000 1
Er4 0.932 0.424 0.787 1
Tm4 0.787 0.165 0.139 1
Tm5 0.378 0.304 0.835 1
Er5 0.733 0.479 0.062 1
Er6 0.267 0.521 0.938 1
Tm6 0.622 0.696 0.165 1
Tm7 0.213 0.835 0.861 1
Er7 0.508 0.790 0.424 1
Er8 0.282 0.213 0.210 1
Er9 0.492 0.210 0.576 1
Er10 0.254 0.460 0.479 1
Er11 0.794 0.062 0.460 1
Er12 0.206 0.938 0.540 1
```

***

#b
The following is a DFT calculation (PBE) of a relaxed TbEr12Tm7 crystal.

space-group type: R-3

CIF file:
```
data_TbEr12Tm7
_symmetry_space_group_name_H-M 'P 1'
_symmetry_Int_Tables_number 1
_cell_length_a 8.556
_cell_length_b 8.556
_cell_length_c 8.556
_cell_angle_alpha 95.12
_cell_angle_beta 95.12
_cell_angle_gamma 95.12
loop_
_symmetry_equiv_pos_as_xyz
'x,y,z'
loop_
_atom_site_label
_atom_site_fract_x
_atom_site_fract_y
_atom_site_fract_z
_atom_site_occupancy
Tm1 0.351 0.019 0.081 1
Tm2 0.500 0.500 0.500 1
Er1 0.250 0.684 0.811 1
Er2 0.415 0.476 0.147 1
Tm3 0.019 0.081 0.351 1
Er3 0.316 0.189 0.750 1
Tb1 0.000 0.000 0.000 1
Tm4 0.981 0.919 0.649 1
Er4 0.147 0.415 0.476 1
Tm5 0.649 0.981 0.919 1
Er5 0.684 0.811 0.250 1
Tm6 0.081 0.351 0.019 1
Er6 0.585 0.524 0.853 1
Er7 0.811 0.250 0.684 1
Er8 0.524 0.853 0.585 1
Er9 0.189 0.750 0.316 1
Er10 0.853 0.585 0.524 1
Er11 0.476 0.147 0.415 1
Tm7 0.919 0.649 0.981 1
Er12 0.750 0.316 0.189 1
```

***

It is #a that is the least stable of them.